# 1
A relaxed structure of Hf2MgCdB, computed with PBE.

abc: 4.608 4.608 4.505
angles: 90.00 90.00 90.00
Fractional coordinates of all 5 atoms:
Hf: 0.000 0.500 0.000
Hf: 0.500 0.000 0.000
Mg: 0.000 0.000 0.500
Cd: 0.500 0.500 0.500
B: 0.000 0.000 0.000

Calculated values
The calculation puts the total magnetic moment at 0.00 μB/cell. The value obtained for the density of states at the Fermi level is 0.442 states/eV per atom. The energy of formation comes out at -0.058 eV per atom.


# 2
A relaxed structure of Hf2CdBMo, computed with PBE.

abc: 4.595 4.595 4.256
angles: 90.00 90.00 90.00
Fractional coordinates of all 5 atoms:
Hf: 0.000 0.500 0.000
Hf: 0.500 0.000 0.000
Cd: 0.000 0.000 0.500
B: 0.000 0.000 0.000
Mo: 0.500 0.500 0.500

Calculated values
The calculation puts the total magnetic moment at 0.00 μB/cell. The value obtained for the density of states at the Fermi level is 0.630 states/eV per atom. The energy of formation comes out at 0.329 eV per atom.


Copy entry 2 word for word.
A relaxed structure of Hf2CdBMo, computed with PBE.

abc: 4.595 4.595 4.256
angles: 90.00 90.00 90.00
Fractional coordinates of all 5 atoms:
Hf: 0.000 0.500 0.000
Hf: 0.500 0.000 0.000
Cd: 0.000 0.000 0.500
B: 0.000 0.000 0.000
Mo: 0.500 0.500 0.500

Calculated values
The calculation puts the total magnetic moment at 0.00 μB/cell. The value obtained for the density of states at the Fermi level is 0.630 states/eV per atom. The energy of formation comes out at 0.329 eV per atom.